Entry 1:
Below is a relaxed structure of Nb2Te4Pd, with properties calculated at the PBE-GGA level.

Cell lengths 7.634, 7.634, 6.848 Å; angles 114.41, 114.41, 27.91 degrees
Fractional positions:
Nb: 0.243 0.243 0.176
Nb: 0.757 0.757 0.824
Te: 0.145 0.145 0.478
Te: 0.402 0.402 0.058
Te: 0.598 0.598 0.942
Te: 0.855 0.855 0.522
Pd: 0.500 0.500 0.500

Output
Electronic total energy, eV/atom: -5.842
Volume, Å³/cell: 169.00
Mass density, Mg/m³: 7.9
Energy relative to the elements, uncorrected, eV/atom: -0.43
DOS(E_F), states/eV/f.u.: 4.73


Entry 2:
Below is a relaxed structure of NbTe2Pd, with properties calculated at the PBE-GGA level.

Cell lengths 9.168, 9.168, 9.168 Å; angles 22.49, 22.49, 22.49 degrees
Fractional positions:
Nb: 0.000 0.000 0.000
Te: 0.404 0.404 0.404
Te: 0.596 0.596 0.596
Pd: 0.500 0.500 0.500

Output
Electronic total energy, eV/atom: -5.559
Volume, Å³/cell: 98.92
Mass density, Mg/m³: 7.6
Energy relative to the elements, uncorrected, eV/atom: -0.17
Offset from the most stable computed form, meV/atom: 274
DOS(E_F), states/eV/f.u.: 2.73


Entry 3:
Below is a relaxed structure of NbTe6Pd3, with properties calculated at the PBE-GGA level.

Cell lengths 11.523, 3.790, 11.651 Å; angles 90.00, 104.31, 90.00 degrees
Fractional positions:
Nb: 0.196 0.250 0.050
Nb: 0.804 0.750 0.950
Te: 0.040 0.750 0.896
Te: 0.121 0.250 0.479
Te: 0.213 0.750 0.247
Te: 0.245 0.250 0.815
Te: 0.391 0.750 0.062
Te: 0.439 0.750 0.605
Te: 0.561 0.250 0.395
Te: 0.609 0.250 0.938
Te: 0.755 0.750 0.185
Te: 0.787 0.250 0.753
Te: 0.879 0.750 0.521
Te: 0.960 0.250 0.104
Pd: 0.006 0.250 0.662
Pd: 0.345 0.250 0.449
Pd: 0.416 0.750 0.830
Pd: 0.584 0.250 0.170
Pd: 0.655 0.750 0.551
Pd: 0.994 0.750 0.338

Output
Electronic total energy, eV/atom: -4.691
Volume, Å³/cell: 492.97
Mass density, Mg/m³: 7.9
Energy relative to the elements, uncorrected, eV/atom: -0.24
DOS(E_F), states/eV/f.u.: 7.54


Entry 4:
Below is a relaxed structure of NbTe2Pd, with properties calculated at the PBE-GGA level.

Cell lengths 4.916, 4.916, 4.916 Å; angles 60.00, 60.00, 60.00 degrees
Fractional positions:
Nb: 0.000 0.000 0.000
Te: 0.250 0.250 0.250
Te: 0.750 0.750 0.750
Pd: 0.500 0.500 0.500

Output
Electronic total energy, eV/atom: -5.383
Volume, Å³/cell: 83.99
Mass density, Mg/m³: 9.0
Energy relative to the elements, uncorrected, eV/atom: 0.00
Offset from the most stable computed form, meV/atom: 450
DOS(E_F), states/eV/f.u.: 4.73


Entry 5:
Below is a relaxed structure of NbTePd6, with properties calculated at the PBE-GGA level.

Cell lengths 4.017, 4.017, 8.207 Å; angles 90.00, 90.00, 90.00 degrees
Fractional positions:
Nb: 0.000 0.000 0.000
Te: 0.000 0.000 0.500
Pd: 0.000 0.500 0.231
Pd: 0.000 0.500 0.769
Pd: 0.500 0.000 0.231
Pd: 0.500 0.000 0.769
Pd: 0.500 0.500 0.000
Pd: 0.500 0.500 0.500

Output
Electronic total energy, eV/atom: -5.869
Volume, Å³/cell: 132.44
Mass density, Mg/m³: 10.8
Energy relative to the elements, uncorrected, eV/atom: -0.32
DOS(E_F), states/eV/f.u.: 3.85


Entry 6:
Below is a relaxed structure of NbTePd3, with properties calculated at the PBE-GGA level.

Cell lengths 4.892, 4.892, 4.892 Å; angles 90.00, 90.00, 90.00 degrees
Fractional positions:
Nb: 0.000 0.000 0.000
Te: 0.500 0.500 0.500
Pd: 0.000 0.000 0.500
Pd: 0.000 0.500 0.000
Pd: 0.500 0.000 0.000

Output
Electronic total energy, eV/atom: -4.939
Volume, Å³/cell: 117.11
Mass density, Mg/m³: 7.7
Energy relative to the elements, uncorrected, eV/atom: 0.82
Offset from the most stable computed form, meV/atom: 87
DOS(E_F), states/eV/f.u.: 4.05


Entry 7:
Below is a relaxed structure of Nb4Te8Pd, with properties calculated at the PBE-GGA level.

Cell lengths 8.727, 8.727, 8.727 Å; angles 49.52, 49.52, 49.52 degrees
Fractional positions:
Nb: 0.000 0.000 0.000
Nb: 0.000 0.500 0.500
Nb: 0.500 0.000 0.500
Nb: 0.500 0.500 0.000
Te: 0.251 0.251 0.743
Te: 0.251 0.743 0.251
Te: 0.252 0.252 0.252
Te: 0.257 0.749 0.749
Te: 0.743 0.251 0.251
Te: 0.748 0.748 0.748
Te: 0.749 0.257 0.749
Te: 0.749 0.749 0.257
Pd: 0.500 0.500 0.500

Output
Electronic total energy, eV/atom: -5.787
Volume, Å³/cell: 353.52
Mass density, Mg/m³: 7.0
Energy relative to the elements, uncorrected, eV/atom: -0.36
DOS(E_F), states/eV/f.u.: 10.38


Entry 8:
Below is a relaxed structure of Nb3Te4Pd, with properties calculated at the PBE-GGA level.

Cell lengths 8.153, 8.759, 5.702 Å; angles 90.00, 90.00, 90.00 degrees
Fractional positions:
Nb: 0.000 0.153 0.000
Nb: 0.183 0.319 0.331
Nb: 0.317 0.681 0.831
Nb: 0.500 0.847 0.500
Nb: 0.683 0.681 0.831
Nb: 0.817 0.319 0.331
Te: 0.000 0.059 0.453
Te: 0.000 0.814 0.911
Te: 0.219 0.369 0.838
Te: 0.281 0.631 0.338
Te: 0.500 0.186 0.411
Te: 0.500 0.941 0.953
Te: 0.719 0.631 0.338
Te: 0.781 0.369 0.838
Pd: 0.000 0.580 0.566
Pd: 0.500 0.420 0.066

Output
Electronic total energy, eV/atom: -6.143
Volume, Å³/cell: 407.15
Mass density, Mg/m³: 7.3
Energy relative to the elements, uncorrected, eV/atom: -0.15
DOS(E_F), states/eV/f.u.: 3.16